Here is a crystal of LiMg2 relaxed with PBEsol from Alexandria via LeMat-Bulk. Energies are from meta-GGA SCAN.

a b c (Å): 3.512 14.435 4.829
angles (deg): 90.00 90.00 90.00
Space group Cmcm (No. 63)
One atom of each set of equivalent atoms:
Li 0.000 0.083 0.250
Mg 0.000 0.256 0.750
Mg 0.000 0.420 0.250

Computed properties:
Formation energy from the elements, eV per atom: -0.047
Total DFT energy (no corrections), Ry/atom: -0.30568